Record 1
Here is a relaxed structure of ThCoC from the Alexandria database. Energies are from PBE.

Cell lengths 3.642, 3.642, 7.668 Å; angles 90.00, 90.00, 120.00 degrees
Atoms (fractional coordinates):
Th1 0.000 0.000 0.000
Th2 0.000 0.000 0.500
Co1 0.333 0.667 0.250
Co2 0.667 0.333 0.750
C1 0.333 0.667 0.750
C2 0.667 0.333 0.250

Summary:
size of the total moment	0.00	μB per formula unit
space group	No. 194
electronic total energy	-48.4	eV per cell
DOS at the Fermi energy	3.1	states/eV/f.u.



Record 2
Here is a relaxed structure of Th2Co4C from the Alexandria database. Energies are from PBE.

Cell lengths 5.582, 5.582, 5.582 Å; angles 124.06, 124.06, 83.10 degrees
Atoms (fractional coordinates):
Th1 0.250 0.750 0.500
Th2 0.750 0.250 0.500
Co1 0.246 0.246 0.492
Co2 0.246 0.754 0.000
Co3 0.754 0.246 0.000
Co4 0.754 0.754 0.508
C1 0.500 0.500 0.000

Summary:
size of the total moment	0.00	μB per formula unit
space group	No. 139
electronic total energy	-53.1	eV per cell
DOS at the Fermi energy	4.0	states/eV/f.u.



Record 3
Here is a relaxed structure of ThCoC from the Alexandria database. Energies are from PBE.

Cell lengths 3.945, 4.194, 6.376 Å; angles 93.10, 101.99, 101.69 degrees
Atoms (fractional coordinates):
Th1 0.071 0.279 0.246
Th2 0.929 0.721 0.754
Co1 0.461 0.256 0.854
Co2 0.539 0.744 0.146
C1 0.478 0.079 0.588
C2 0.522 0.921 0.412

Summary:
size of the total moment	0.00	μB per formula unit
space group	No. 2
electronic total energy	-48.6	eV per cell
DOS at the Fermi energy	1.8	states/eV/f.u.



Record 4
Here is a relaxed structure of ThCoC from the Alexandria database. Energies are from PBE.

Cell lengths 3.628, 3.628, 3.888 Å; angles 90.00, 90.00, 120.00 degrees
Atoms (fractional coordinates):
Th1 0.000 0.000 0.000
Co1 0.667 0.333 0.500
C1 0.333 0.667 0.500

Summary:
size of the total moment	0.00	μB per formula unit
space group	No. 187
electronic total energy	-24.0	eV per cell
DOS at the Fermi energy	3.2	states/eV/f.u.



Record 5
Here is a relaxed structure of Th3CoC3 from the Alexandria database. Energies are from PBE.

Cell lengths 6.845, 6.845, 5.337 Å; angles 90.00, 90.00, 100.56 degrees
Atoms (fractional coordinates):
Th1 0.112 0.888 0.750
Th2 0.165 0.413 0.750
Th3 0.413 0.165 0.250
Th4 0.587 0.835 0.750
Th5 0.835 0.587 0.250
Th6 0.888 0.112 0.250
Co1 0.304 0.696 0.250
Co2 0.696 0.304 0.750
C1 0.121 0.879 0.250
C2 0.151 0.427 0.250
C3 0.427 0.151 0.750
C4 0.573 0.849 0.250
C5 0.849 0.573 0.750
C6 0.879 0.121 0.750

Summary:
size of the total moment	0.00	μB per formula unit
space group	No. 63
electronic total energy	-116.7	eV per cell
DOS at the Fermi energy	5.7	states/eV/f.u.



Record 6
Here is a relaxed structure of Th2Co6C from the Alexandria database. Energies are from PBE.

Cell lengths 5.641, 5.641, 4.589 Å; angles 90.00, 90.00, 120.00 degrees
Atoms (fractional coordinates):
Th1 0.333 0.667 0.258
Th2 0.667 0.333 0.742
Co1 0.153 0.306 0.756
Co2 0.153 0.847 0.756
Co3 0.306 0.153 0.244
Co4 0.694 0.847 0.756
Co5 0.847 0.153 0.244
Co6 0.847 0.694 0.244
C1 0.000 0.000 0.500

Summary:
size of the total moment	1.59	μB per formula unit
space group	No. 164
electronic total energy	-67.9	eV per cell
DOS at the Fermi energy	6.9	states/eV/f.u.



Record 7
Here is a relaxed structure of Th2CoC4 from the Alexandria database. Energies are from PBE.

Cell lengths 6.885, 6.885, 6.885 Å; angles 115.73, 81.70, 135.25 degrees
Atoms (fractional coordinates):
Th1 0.139 0.184 0.323
Th2 0.361 0.684 0.045
Th3 0.639 0.316 0.955
Th4 0.861 0.816 0.677
Co1 0.250 0.750 0.500
Co2 0.750 0.250 0.500
C1 0.087 0.663 0.750
C2 0.129 0.843 0.972
C3 0.371 0.343 0.714
C4 0.413 0.163 0.576
C5 0.587 0.837 0.424
C6 0.629 0.657 0.286
C7 0.871 0.157 0.028
C8 0.913 0.337 0.250

Summary:
size of the total moment	0.00	μB per formula unit
space group	No. 72
electronic total energy	-120.5	eV per cell
DOS at the Fermi energy	4.0	states/eV/f.u.



Record 8
Here is a relaxed structure of Th2Co4C from the Alexandria database. Energies are from PBE.

Cell lengths 7.818, 7.818, 7.818 Å; angles 151.41, 151.41, 40.87 degrees
Atoms (fractional coordinates):
Th1 0.158 0.158 0.000
Th2 0.842 0.842 0.000
Co1 0.000 0.500 0.500
Co2 0.371 0.371 0.000
Co3 0.500 0.000 0.500
Co4 0.629 0.629 0.000
C1 0.500 0.500 0.000

Summary:
size of the total moment	0.00	μB per formula unit
space group	No. 139
electronic total energy	-54.2	eV per cell
DOS at the Fermi energy	6.4	states/eV/f.u.



Record 9
Here is a relaxed structure of Th4CoC2 from the Alexandria database. Energies are from PBE.

Cell lengths 6.422, 6.422, 13.096 Å; angles 90.00, 90.00, 146.08 degrees
Atoms (fractional coordinates):
Th1 0.000 0.000 0.000
Th2 0.000 0.000 0.500
Th3 0.277 0.723 0.614
Th4 0.277 0.723 0.886
Th5 0.443 0.557 0.250
Th6 0.557 0.443 0.750
Th7 0.723 0.277 0.114
Th8 0.723 0.277 0.386
Co1 0.101 0.899 0.250
Co2 0.899 0.101 0.750
C1 0.362 0.638 0.063
C2 0.362 0.638 0.437
C3 0.638 0.362 0.563
C4 0.638 0.362 0.937

Summary:
size of the total moment	0.00	μB per formula unit
space group	No. 63
electronic total energy	-114.0	eV per cell
DOS at the Fermi energy	5.8	states/eV/f.u.



Record 10
Here is a relaxed structure of Th2CoC2 from the Alexandria database. Energies are from PBE.

Cell lengths 6.678, 6.678, 6.678 Å; angles 147.15, 147.15, 47.15 degrees
Atoms (fractional coordinates):
Th1 0.143 0.143 0.000
Th2 0.857 0.857 0.000
Co1 0.500 0.500 0.000
C1 0.346 0.346 0.000
C2 0.654 0.654 0.000

Summary:
size of the total moment	0.90	μB per formula unit
space group	No. 139
electronic total energy	-41.9	eV per cell
DOS at the Fermi energy	2.9	states/eV/f.u.



Record 11
Here is a relaxed structure of ThCo4C from the Alexandria database. Energies are from PBE.

Cell lengths 5.353, 5.353, 6.985 Å; angles 112.49, 112.49, 90.00 degrees
Atoms (fractional coordinates):
Th1 0.250 0.250 0.001
Th2 0.750 0.750 0.999
Co1 0.155 0.656 0.811
Co2 0.249 0.751 0.500
Co3 0.251 0.251 0.500
Co4 0.344 0.845 0.189
Co5 0.656 0.155 0.811
Co6 0.749 0.749 0.500
Co7 0.751 0.249 0.500
Co8 0.845 0.344 0.189
C1 0.000 0.500 0.500
C2 0.500 0.000 0.500

Summary:
size of the total moment	2.06	μB per formula unit
space group	No. 12
electronic total energy	-90.2	eV per cell
DOS at the Fermi energy	8.0	states/eV/f.u.



Record 12
Here is a relaxed structure of ThCoC from the Alexandria database. Energies are from PBE.

Cell lengths 3.940, 3.940, 3.940 Å; angles 68.07, 68.07, 68.07 degrees
Atoms (fractional coordinates):
Th1 0.000 0.000 0.000
Co1 0.490 0.490 0.490
C1 0.280 0.280 0.280

Summary:
size of the total moment	1.00	μB per formula unit
space group	No. 160
electronic total energy	-23.2	eV per cell
DOS at the Fermi energy	3.1	states/eV/f.u.



The records above give, respectively, mass density values of 11.4; 10.3; 10.0; 11.4; 10.7; 10.9; 9.5; 10.8; 11.1; 10.4; 9.5; 9.9 g/cm3.